# 1
Compound: LaTaIn2
Source: Alexandria
Functional: SCAN
Structure: PBEsol geometry

Output
Its total energy is -175.81 eV/cell. The value obtained for the density of states at the Fermi level is 2.775 states/eV per cell. As for the energy relative to the elements: 0.16 eV/atom. Its space group is P4/mmm.

Geometry as POSCAR:
```
LaTaIn2
1.0
-1.735 -0.633 -2.364
-3.409 -2.898 3.278
-2.976 4.582 0.957
In La Ta
2 1 1
Direct
0.000 0.000 0.500
0.000 0.500 0.000
0.500 0.500 0.500
0.500 0.000 0.000
```



# 2
Compound: PbAuO2
Source: Alexandria
Functional: SCAN
Structure: PBEsol geometry

Output
Its total energy is -319.71 eV/cell. The value obtained for the density of states at the Fermi level is 0.852 states/eV per cell. The formation energy without anion corrections comes out at -613 meV/atom. Its space group is P2/m.

Geometry as POSCAR:
```
PbAuO2
1.0
-3.484 -0.807 -0.140
1.473 -6.307 -0.317
-0.703 1.957 6.215
Pb Au O
2 2 4
Direct
0.000 0.000 0.500
0.500 0.500 0.500
0.000 0.500 0.000
0.500 0.000 0.000
0.500 0.861 0.676
0.000 0.583 0.324
0.500 0.139 0.324
0.000 0.417 0.676
```



# 3
Compound: Ca2Zn2Hg
Source: Alexandria
Functional: SCAN
Structure: PBEsol geometry

Output
The calculation puts the excess energy over the best structure of this formula in the dataset at 0 meV/atom. Its total energy is -232.77 eV/cell. The value obtained for the density of states at the Fermi level is 5.839 states/eV per cell. As for the energy relative to the elements: -0.37 eV/atom. Its space group is P4/mbm.

Geometry as POSCAR:
```
Ca2Zn2Hg
1.0
-1.111 -3.568 -1.867
7.139 -1.981 -0.461
-0.491 -3.313 6.624
Zn Ca Hg
4 4 2
Direct
0.000 0.382 0.882
0.000 0.882 0.618
0.000 0.618 0.118
0.000 0.118 0.382
0.500 0.180 0.680
0.500 0.680 0.820
0.500 0.820 0.320
0.500 0.320 0.180
0.000 0.000 0.000
0.000 0.500 0.500
```



# 4
Compound: Li3Nb4CuO12
Source: Alexandria
Functional: SCAN
Structure: PBEsol geometry

Output
Its total energy is -280.00 eV/cell. The formation energy without anion corrections comes out at -2517 meV/atom. Its space group is P1.

Geometry as POSCAR:
```
Li3Nb4CuO12
1.0
5.163 0.002 -0.001
0.007 5.544 -0.007
0.002 0.737 7.551
Nb O Cu Li
4 12 1 3
Direct
0.003 0.015 0.501
0.495 0.511 0.012
0.001 0.010 0.000
0.498 0.503 0.505
0.319 0.852 0.461
0.826 0.359 0.969
0.873 0.049 0.265
0.378 0.553 0.768
0.800 0.732 0.587
0.308 0.227 0.089
0.132 0.041 0.767
0.629 0.553 0.268
0.180 0.351 0.453
0.677 0.861 0.962
0.686 0.221 0.585
0.196 0.730 0.093
0.999 0.540 0.769
0.503 0.938 0.718
0.996 0.444 0.222
0.502 0.942 0.225
```



# 5
Compound: CsPrNb6Br18
Source: Alexandria
Functional: SCAN
Structure: PBEsol geometry

Output
Its total energy is -1326.65 eV/cell. The formation energy without anion corrections comes out at -1275 meV/atom. Its space group is P-31c.

Geometry as POSCAR:
```
CsPrNb6Br18
1.0
-5.631 -7.720 1.839
8.859 0.619 3.979
-7.045 8.558 14.356
Cs Pr Nb Br
2 2 12 36
Direct
0.667 0.333 0.250
0.333 0.667 0.750
0.333 0.667 0.250
0.667 0.333 0.750
0.155 0.188 0.434
0.845 0.812 0.566
0.033 0.845 0.434
0.155 0.967 0.066
0.967 0.155 0.566
0.845 0.033 0.934
0.812 0.967 0.434
0.033 0.188 0.066
0.188 0.033 0.566
0.967 0.812 0.934
0.812 0.845 0.066
0.188 0.155 0.934
0.372 0.442 0.341
0.628 0.558 0.659
0.070 0.628 0.341
0.372 0.930 0.159
0.930 0.372 0.659
0.628 0.070 0.841
0.558 0.930 0.341
0.070 0.442 0.159
0.442 0.070 0.659
0.930 0.558 0.841
0.558 0.628 0.159
0.442 0.372 0.841
0.960 0.191 0.338
0.040 0.809 0.662
0.231 0.040 0.338
0.960 0.769 0.162
0.769 0.960 0.662
0.040 0.231 0.838
0.809 0.769 0.338
0.231 0.191 0.162
0.191 0.231 0.662
0.769 0.809 0.838
0.809 0.040 0.162
0.191 0.960 0.838
0.728 0.149 0.500
0.272 0.851 0.500
0.421 0.272 0.500
0.728 0.579 0.000
0.579 0.728 0.500
0.272 0.421 0.000
0.851 0.579 0.500
0.421 0.149 0.000
0.149 0.421 0.500
0.579 0.851 0.000
0.851 0.272 0.000
0.149 0.728 0.000
```



# 6
Compound: ZrCrTc2
Source: Alexandria
Functional: SCAN
Structure: PBEsol geometry

Output
Its total energy is -118.95 eV/cell. The value obtained for the density of states at the Fermi level is 3.325 states/eV per cell. As for the energy relative to the elements: 0.06 eV/atom. Its space group is Cmmm.

Geometry as POSCAR:
```
ZrCrTc2
1.0
2.734 0.001 0.000
-0.981 2.553 0.000
0.000 0.000 8.480
Cr Tc Zr
1 2 1
Direct
0.500 0.500 0.000
0.000 0.000 0.225
0.000 0.000 0.775
0.500 0.500 0.500
```



# 7
Compound: CaBeTl2
Source: Alexandria
Functional: SCAN
Structure: PBEsol geometry

Output
The calculation puts the excess energy over the best structure of this formula in the dataset at 305 meV/atom. Its total energy is -157.99 eV/cell. The value obtained for the density of states at the Fermi level is 1.009 states/eV per cell. As for the energy relative to the elements: 0.19 eV/atom. Its space group is F-43m.

Geometry as POSCAR:
```
CaBeTl2
1.0
5.075 0.000 0.000
2.537 4.395 0.000
2.537 1.465 4.144
Be Tl Ca
1 2 1
Direct
0.500 0.500 0.500
0.000 0.000 0.000
0.750 0.750 0.750
0.250 0.250 0.250
```



# 8
Compound: NiMo2AsI
Source: Alexandria
Functional: SCAN
Structure: PBEsol geometry

Output
Its total energy is -133.45 eV/cell. The value obtained for the density of states at the Fermi level is 5.457 states/eV per cell. The formation energy without anion corrections comes out at 1884 meV/atom. Its space group is P4/mmm.

Geometry as POSCAR:
```
NiMo2AsI
1.0
4.580 0.000 0.000
0.000 4.580 0.000
0.000 0.000 5.431
I Ni Mo As
1 1 2 1
Direct
0.000 0.000 0.500
0.500 0.500 0.500
0.000 0.500 0.000
0.500 0.000 0.000
0.000 0.000 0.000
```



# 9
Compound: SrLa2Cu2O6
Source: Alexandria
Functional: SCAN
Structure: PBEsol geometry

Output
Its total energy is -204.39 eV/cell. The value obtained for the density of states at the Fermi level is 1.848 states/eV per cell. The formation energy without anion corrections comes out at -2556 meV/atom. Its space group is I4/mmm.

Geometry as POSCAR:
```
SrLa2Cu2O6
1.0
3.820 0.000 0.000
0.000 3.820 0.000
-1.910 -1.910 9.842
Sr La Cu O
1 2 2 6
Direct
0.000 0.000 0.000
0.177 0.177 0.354
0.823 0.823 0.646
0.411 0.411 0.822
0.589 0.589 0.178
0.089 0.589 0.178
0.589 0.089 0.178
0.911 0.411 0.822
0.411 0.911 0.822
0.294 0.294 0.588
0.706 0.706 0.412
```



# 10
Compound: ZnTcAs
Source: Alexandria
Functional: SCAN
Structure: PBEsol geometry

Output
The calculation puts the excess energy over the best structure of this formula in the dataset at 0 meV/atom. Its total energy is -69.33 eV/cell. The value obtained for the density of states at the Fermi level is 0.053 states/eV per cell. As for the energy relative to the elements: -0.19 eV/atom. Its space group is I4mm.

Geometry as POSCAR:
```
ZnTcAs
1.0
-0.665 -2.460 -1.893
-1.214 -1.576 2.474
-2.839 3.660 -1.098
Zn As Tc
1 1 1
Direct
0.333 0.333 0.666
0.012 0.012 0.023
0.655 0.655 0.310
```



# 11
Compound: Cr3MoH
Source: Alexandria
Functional: SCAN
Structure: PBEsol geometry

Output
Its total energy is -91.90 eV/cell. The value obtained for the density of states at the Fermi level is 5.600 states/eV per cell. Its space group is Pm-3m.

Geometry as POSCAR:
```
Cr3MoH
1.0
3.721 0.000 0.000
0.000 3.721 0.000
0.000 0.000 3.721
Cr Mo H
3 1 1
Direct
0.000 0.500 0.000
0.000 0.000 0.500
0.500 0.000 0.000
0.500 0.500 0.500
0.000 0.000 0.000
```



# 12
Compound: Fe3Co4
Source: Alexandria
Functional: SCAN
Structure: PBEsol geometry

Output
The calculation puts the excess energy over the best structure of this formula in the dataset at 152 meV/atom. Its total energy is -123.97 eV/cell. The value obtained for the density of states at the Fermi level is 4.789 states/eV per cell. As for the energy relative to the elements: -0.05 eV/atom. Its space group is Fmmm.

Geometry as POSCAR:
```
Fe3Co4
1.0
2.406 0.001 0.000
-0.804 2.267 0.000
-0.801 -1.134 13.783
Co Fe
4 3
Direct
0.856 0.856 0.712
0.285 0.285 0.570
0.715 0.715 0.430
0.144 0.144 0.288
0.573 0.573 0.145
0.000 0.000 0.000
0.427 0.427 0.855
```



# 13
Compound: KZr2Cd
Source: Alexandria
Functional: SCAN
Structure: PBEsol geometry

Output
Its total energy is -99.41 eV/cell. The value obtained for the density of states at the Fermi level is 3.582 states/eV per cell. As for the energy relative to the elements: 0.18 eV/atom. Its space group is P4mm.

Geometry as POSCAR:
```
KZr2Cd
1.0
3.132 0.000 0.000
0.000 3.132 0.000
0.000 0.000 10.682
Cd K Zr
1 1 2
Direct
0.000 0.000 0.464
0.500 0.500 0.732
0.000 0.000 0.053
0.500 0.500 0.250
```



# 14
Compound: Cr4TcW
Source: Alexandria
Functional: SCAN
Structure: PBEsol geometry

Output
Its total energy is -177.70 eV/cell. The value obtained for the density of states at the Fermi level is 7.344 states/eV per cell. As for the energy relative to the elements: 0.10 eV/atom. Its space group is F-43m.

Geometry as POSCAR:
```
Cr4TcW
1.0
-2.711 -1.908 -3.365
1.922 -2.825 -3.262
-0.918 -4.634 0.051
Cr Tc W
4 1 1
Direct
0.374 0.374 0.374
0.374 0.374 0.877
0.877 0.374 0.374
0.374 0.877 0.374
0.750 0.750 0.750
0.000 0.000 0.000
```



# 15
Compound: ScCrP2
Source: Alexandria
Functional: SCAN
Structure: PBEsol geometry

Output
The calculation puts the excess energy over the best structure of this formula in the dataset at 0 meV/atom. Its total energy is -57.74 eV/cell. The value obtained for the density of states at the Fermi level is 0.611 states/eV per cell. As for the energy relative to the elements: -1.08 eV/atom. Its space group is R-3m.

Geometry as POSCAR:
```
ScCrP2
1.0
3.610 0.000 0.000
1.805 3.127 0.000
1.805 1.042 5.513
Cr P Sc
1 2 1
Direct
0.000 0.000 0.000
0.261 0.261 0.217
0.739 0.739 0.783
0.500 0.500 0.500
```



# 16
Compound: RbBeCd3
Source: Alexandria
Functional: SCAN
Structure: PBEsol geometry

Output
The calculation puts the excess energy over the best structure of this formula in the dataset at 1131 meV/atom. Its total energy is -110.04 eV/cell. The value obtained for the density of states at the Fermi level is 2.558 states/eV per cell. As for the energy relative to the elements: 1.26 eV/atom. Its space group is Pm-3m.

Geometry as POSCAR:
```
RbBeCd3
1.0
6.421 0.000 0.000
0.000 6.421 0.000
0.000 0.000 6.421
Be Rb Cd
1 1 3
Direct
0.500 0.500 0.500
0.000 0.000 0.000
0.000 0.500 0.000
0.000 0.000 0.500
0.500 0.000 0.000
```



# 17
Compound: AuSe2Br
Source: Alexandria
Functional: SCAN
Structure: PBEsol geometry

Output
Its total energy is -127.53 eV/cell. The value obtained for the density of states at the Fermi level is 1.840 states/eV per cell. The formation energy without anion corrections comes out at 310 meV/atom. Its space group is I4/mmm.

Geometry as POSCAR:
```
AuSe2Br
1.0
-1.291 0.701 4.603
-3.841 -0.759 -2.834
2.744 -3.947 -0.502
Au Br Se
1 1 2
Direct
0.500 0.500 0.500
0.500 0.000 0.000
0.000 0.000 0.500
0.000 0.500 0.000
```



# 18
Compound: Nd2FeSi2Ru
Source: Alexandria
Functional: SCAN
Structure: PBEsol geometry

Output
Its total energy is -164.11 eV/cell. The value obtained for the density of states at the Fermi level is 5.200 states/eV per cell. The formation energy without anion corrections comes out at -659 meV/atom. Its space group is P-4m2.

Geometry as POSCAR:
```
Nd2FeSi2Ru
1.0
-3.588 0.760 -1.813
-1.855 -0.056 3.646
1.093 6.733 0.660
Ru Si Nd Fe
1 2 2 1
Direct
0.500 0.500 0.000
0.500 0.000 0.828
0.000 0.500 0.172
0.500 0.000 0.321
0.000 0.500 0.679
0.000 0.000 0.000
```



# 19
Compound: CsS3
Source: Alexandria
Functional: SCAN
Structure: PBEsol geometry

Output
Its total energy is -277.33 eV/cell. The value obtained for the density of states at the Fermi level is 0.000 states/eV per cell. The formation energy without anion corrections comes out at -659 meV/atom. Its space group is P-1.

Geometry as POSCAR:
```
CsS3
1.0
-0.207 -0.042 4.631
3.243 -8.537 0.036
10.762 3.278 1.514
Cs S
4 12
Direct
0.957 0.672 0.094
0.043 0.328 0.906
0.889 0.308 0.388
0.111 0.692 0.612
0.461 0.355 0.151
0.539 0.645 0.849
0.427 0.606 0.327
0.573 0.394 0.673
0.485 0.142 0.102
0.515 0.858 0.898
0.195 0.013 0.210
0.805 0.987 0.790
0.357 0.966 0.375
0.643 0.034 0.625
0.640 0.790 0.365
0.360 0.210 0.635
```



# 20
Compound: SrSi2Br
Source: Alexandria
Functional: SCAN
Structure: PBEsol geometry

Output
Its total energy is -63.11 eV/cell. The value obtained for the density of states at the Fermi level is 1.897 states/eV per cell. The formation energy without anion corrections comes out at -336 meV/atom. Its space group is Imm2.

Geometry as POSCAR:
```
SrSi2Br
1.0
-0.984 -3.667 0.637
1.132 -1.392 5.364
-4.369 -0.226 3.585
Br Si Sr
1 2 1
Direct
0.734 0.766 0.766
0.947 0.053 0.053
0.305 0.195 0.195
0.514 0.486 0.486
```



How do the records compare in V? In the order shown, they have 92.30; 141.83; 230.18; 216.17; 1487.45; 59.20; 92.42; 113.91; 143.59; 42.31; 51.50; 75.18; 104.76; 74.54; 62.23; 264.74; 86.51; 114.70; 477.59; 100.50 Å³/cell.